Density functional theory data (PBE with a Hubbard U) for a geometry-optimized MnBeGaO4 structure.

Cell lengths 4.9447, 4.9447, 5.8427 Å; angles 90.00, 90.00, 113.33 degrees
With the nearest neighbours (Å) after each atom.
Sites, in units of the cell vectors:
Mn1 0.5000 0.5000 0.5000  6 O 1.95-2.04
Mn2 0.5000 0.5000 0.0000  6 O 1.95-2.04
Be1 0.1575 0.8425 0.2500  4 O 1.59-1.75
Be2 0.8425 0.1575 0.7500  4 O 1.59-1.75
Ga1 0.8435 0.1565 0.2500  4 O 1.83-1.93
Ga2 0.1565 0.8435 0.7500  4 O 1.83-1.93
O1 0.2234 0.2559 0.7500  1 Be 1.75, 1 Ga 1.93
O2 0.7441 0.7766 0.7500  1 Be 1.75, 1 Ga 1.93
O3 0.7350 0.2650 0.9761  1 Be 1.59
O4 0.7350 0.2650 0.5239  1 Be 1.59
O5 0.2650 0.7350 0.0239  1 Be 1.59
O6 0.2650 0.7350 0.4761  1 Be 1.59
O7 0.7766 0.7441 0.2500  1 Be 1.75, 1 Ga 1.93
O8 0.2559 0.2234 0.2500  1 Be 1.75, 1 Ga 1.93

Calculated values
The calculation puts the total energy at -6.64 eV per atom. Its total magnetization is 0.286 μB/atom.